The following is a DFT calculation (GGA-PBEsol) of crystalline TaHg2MoPd at its relaxed geometry.

Total magnetic moment ... 0.00 μB per formula unit
V ... 22.046 Å³/atom
Formation energy from the elements ... 1.613 eV/atom
Total energy ... -4.669 eV/atom

Lattice parameters (Å, degrees): 4.8479 4.8479 4.6902 90.00 90.00 90.00
Last column: nearest neighbours and their distance in Å.
Space group P4/mmm (No. 123)
Symmetry-distinct sites (fractional):
1 Ta 0.0000 0.0000 0.0000 (multiplicity 1)  8 Hg 3.37, 4 Mo 3.43
2 Hg 0.0000 0.5000 0.5000 (multiplicity 2)  2 Pd 2.42
3 Mo 0.5000 0.5000 0.0000 (multiplicity 1)  2 Pd 2.35
4 Pd 0.5000 0.5000 0.5000 (multiplicity 1)  2 Mo 2.35, 4 Hg 2.42